# SrLi3Hg, optimized geometry, DFT GGA-PBEsol
data_SrLi3Hg
_cell_length_a 5.107
_cell_length_b 5.107
_cell_length_c 5.107
_cell_angle_alpha 90.00
_cell_angle_beta 90.00
_cell_angle_gamma 90.00
_symmetry_space_group_name_H-M 'P 1'
_symmetry_Int_Tables_number 1
loop_
_symmetry_equiv_pos_as_xyz
'x,y,z'
loop_
_atom_site_label
_atom_site_type_symbol
_atom_site_fract_x
_atom_site_fract_y
_atom_site_fract_z
Sr1 Sr 0.000 0.000 0.000
Li1 Li 0.000 0.500 0.500
Li2 Li 0.500 0.000 0.500
Li3 Li 0.500 0.500 0.000
Hg1 Hg 0.500 0.500 0.500
# **D(E_F)**: 3.5 states/eV/cell
# **Symmetry**: Pm-3m (221)
# **DFT total energy**: -8.96 eV/cell
# **ΔH_f (0 K)**: -0.7 eV/f.u.

---

# ThSnPt, optimized geometry, DFT GGA-PBEsol
data_ThSnPt
_cell_length_a 4.759
_cell_length_b 4.759
_cell_length_c 4.759
_cell_angle_alpha 60.00
_cell_angle_beta 60.00
_cell_angle_gamma 60.00
_symmetry_space_group_name_H-M 'P 1'
_symmetry_Int_Tables_number 1
loop_
_symmetry_equiv_pos_as_xyz
'x,y,z'
loop_
_atom_site_label
_atom_site_type_symbol
_atom_site_fract_x
_atom_site_fract_y
_atom_site_fract_z
Th1 Th 0.000 0.000 0.000
Sn1 Sn 0.500 0.500 0.500
Pt1 Pt 0.250 0.250 0.250
# **Symmetry**: F-43m (216)
# **DFT total energy**: -22.50 eV/cell
# **ΔH_f (0 K)**: -3.2 eV/f.u.

---

# CdMoS2N, optimized geometry, DFT GGA-PBEsol
data_CdMoS2N
_cell_length_a 4.964
_cell_length_b 4.964
_cell_length_c 3.949
_cell_angle_alpha 90.00
_cell_angle_beta 90.00
_cell_angle_gamma 90.00
_symmetry_space_group_name_H-M 'P 1'
_symmetry_Int_Tables_number 1
loop_
_symmetry_equiv_pos_as_xyz
'x,y,z'
loop_
_atom_site_label
_atom_site_type_symbol
_atom_site_fract_x
_atom_site_fract_y
_atom_site_fract_z
Cd1 Cd 0.000 0.000 0.000
Mo1 Mo 0.500 0.500 0.500
S1 S 0.000 0.500 0.000
S2 S 0.500 0.000 0.000
N1 N 0.000 0.000 0.500
# **Energy relative to the elements, uncorrected**: 1.6031 eV/atom
# **D(E_F)**: 3.0 states/eV/cell
# **Symmetry**: P4/mmm (123)
# **DFT total energy**: -22.24 eV/cell

---

# TlIn2Rh, optimized geometry, DFT GGA-PBEsol
data_TlIn2Rh
_cell_length_a 3.366
_cell_length_b 4.910
_cell_length_c 4.962
_cell_angle_alpha 90.00
_cell_angle_beta 90.00
_cell_angle_gamma 90.00
_symmetry_space_group_name_H-M 'P 1'
_symmetry_Int_Tables_number 1
loop_
_symmetry_equiv_pos_as_xyz
'x,y,z'
loop_
_atom_site_label
_atom_site_type_symbol
_atom_site_fract_x
_atom_site_fract_y
_atom_site_fract_z
Tl1 Tl 0.000 0.000 0.000
In1 In 0.000 0.500 0.500
In2 In 0.500 0.500 0.000
Rh1 Rh 0.500 0.000 0.500
# **E above lowest polymorph**: 342.1 meV/atom
# **D(E_F)**: 2.3 states/eV/cell
# **Symmetry**: Pmmm (47)
# **DFT total energy**: -15.93 eV/cell
# **ΔH_f (0 K)**: 0.8 eV/f.u.

---

# FeSi2Pt, optimized geometry, DFT GGA-PBEsol
data_FeSi2Pt
_cell_length_a 4.723
_cell_length_b 4.723
_cell_length_c 4.723
_cell_angle_alpha 136.50
_cell_angle_beta 136.50
_cell_angle_gamma 63.21
_symmetry_space_group_name_H-M 'P 1'
_symmetry_Int_Tables_number 1
loop_
_symmetry_equiv_pos_as_xyz
'x,y,z'
loop_
_atom_site_label
_atom_site_type_symbol
_atom_site_fract_x
_atom_site_fract_y
_atom_site_fract_z
Fe1 Fe 0.000 0.000 0.000
Si1 Si 0.250 0.750 0.500
Si2 Si 0.500 0.500 0.000
Pt1 Pt 0.750 0.250 0.500
# **Energy relative to the elements, uncorrected**: -0.3012 eV/atom
# **D(E_F)**: 3.2 states/eV/cell
# **Symmetry**: I-4m2 (119)
# **DFT total energy**: -28.63 eV/cell

---

# KCoSb2, optimized geometry, DFT GGA-PBEsol
data_KCoSb2
_cell_length_a 3.486
_cell_length_b 3.486
_cell_length_c 8.553
_cell_angle_alpha 90.00
_cell_angle_beta 90.00
_cell_angle_gamma 90.00
_symmetry_space_group_name_H-M 'P 1'
_symmetry_Int_Tables_number 1
loop_
_symmetry_equiv_pos_as_xyz
'x,y,z'
loop_
_atom_site_label
_atom_site_type_symbol
_atom_site_fract_x
_atom_site_fract_y
_atom_site_fract_z
K1 K 0.000 0.000 0.000
Co1 Co 0.500 0.500 0.577
Sb1 Sb 0.000 0.000 0.611
Sb2 Sb 0.500 0.500 0.290
# **Energy relative to the elements, uncorrected**: 0.1022 eV/atom
# **D(E_F)**: 2.4 states/eV/cell
# **Symmetry**: P4mm (99)
# **DFT total energy**: -17.58 eV/cell